Entry 1:
A relaxed TaCr2CuF crystal. Source: Alexandria via LeMat-Bulk, functional PBEsol.

The space group is P4/mmm (No. 123) and the conventional cell measures 3.846, 3.846 and 4.287 Å, with angles of 90.00, 90.00 and 90.00 degrees. Symmetry generates all atoms from Ta at (0.000, 0.000, 0.000), Cr at (0.000, 0.500, 0.500), Cu at (0.500, 0.500, 0.000) and F at (0.500, 0.500, 0.500).

For the calculated density, the calculation gives 9.6 g/cm³. The formation energy without anion corrections is 0.291 eV/atom.

Entry 2:
A relaxed Re2SbOs crystal. Source: Alexandria via LeMat-Bulk, functional PBEsol.

The space group is Pmmm (No. 47) and the conventional cell measures 3.006, 4.536 and 4.613 Å, with angles of 90.00, 90.00 and 90.00 degrees. Symmetry generates all atoms from Re at (0.000, 0.000, 0.000), Re at (0.500, 0.500, 0.000), Sb at (0.000, 0.500, 0.500) and Os at (0.500, 0.000, 0.500).

For the calculated density, the calculation gives 18.1 g/cm³. The formation energy without anion corrections is 0.671 eV/atom.

Entry 3:
A relaxed RbH3Se crystal. Source: Alexandria via LeMat-Bulk, functional PBEsol.

The space group is Pm-3m (No. 221) and the conventional cell measures 4.063, 4.063 and 4.063 Å, with angles of 90.00, 90.00 and 90.00 degrees. Symmetry generates all atoms from Rb at (0.000, 0.000, 0.000), H at (0.000, 0.500, 0.500) and Se at (0.500, 0.500, 0.500).

Its energy above the most stable polymorph in this dataset is 0.000 eV per atom. For the calculated density, the calculation gives 4.1 g/cm³.

Entry 4:
A relaxed TcSbSe2 crystal. Source: Alexandria via LeMat-Bulk, functional PBEsol.

The space group is I-42d (No. 122) and the conventional cell measures 6.548, 6.548 and 9.332 Å, with angles of 90.00, 90.00 and 90.00 degrees. Symmetry generates all atoms from Tc at (0.000, 0.000, 0.000), Sb at (0.000, 0.000, 0.500) and Se at (0.187, 0.250, 0.125).

For the calculated density, the calculation gives 6.3 g/cm³. The formation energy without anion corrections is 0.307 eV/atom.

Entry 5:
A relaxed KLa2Mg crystal. Source: Alexandria via LeMat-Bulk, functional PBEsol.

The space group is P2/m (No. 10) and the conventional cell measures 6.279, 3.523 and 6.721 Å, with angles of 90.00, 109.53 and 90.00 degrees. Symmetry generates all atoms from K at (0.000, 0.000, 0.000), La at (0.000, 0.500, 0.500), La at (0.500, 0.000, 0.500) and Mg at (0.500, 0.500, 0.000).

Its energy relative to the elements is 27.62 kJ per mole of atoms. For the calculated density, the calculation gives 4.0 g/cm³.

Entry 6:
A relaxed Mo2RuW crystal. Source: Alexandria via LeMat-Bulk, functional PBEsol.

The space group is P2/m (No. 10) and the conventional cell measures 4.751, 2.787 and 4.786 Å, with angles of 90.00, 108.74 and 90.00 degrees. Symmetry generates all atoms from Mo at (0.000, 0.000, 0.000), Mo at (0.500, 0.500, 0.000), Ru at (0.000, 0.500, 0.500) and W at (0.500, 0.000, 0.500).

Its energy above the most stable polymorph in this dataset is 0.027 eV per atom. Its energy relative to the elements is 24.92 kJ per mole of atoms. For the calculated density, the calculation gives 13.2 g/cm³.

Entry 7:
A relaxed ZrTaMnCu2 crystal. Source: Alexandria via LeMat-Bulk, functional PBEsol.

The space group is P4/mmm (No. 123) and the conventional cell measures 4.546, 4.546 and 4.301 Å, with angles of 90.00, 90.00 and 90.00 degrees. Symmetry generates all atoms from Zr at (0.000, 0.000, 0.000), Ta at (0.500, 0.500, 0.500), Mn at (0.000, 0.000, 0.500) and Cu at (0.000, 0.500, 0.000).

Its energy relative to the elements is 157.86 kJ per mole of atoms. For the calculated density, the calculation gives 8.5 g/cm³.

Entry 8:
A relaxed Mg2ZnCu crystal. Source: Alexandria via LeMat-Bulk, functional PBEsol.

The space group is Pm (No. 6) and the conventional cell measures 3.006, 4.253 and 5.346 Å, with angles of 90.00, 105.98 and 90.00 degrees. Symmetry generates all atoms from Mg at (0.000, 0.000, 0.000), Mg at (0.321, 0.500, 0.648), Zn at (0.599, 0.500, 0.198) and Cu at (0.724, 0.000, 0.454).

Its energy relative to the elements is -7.38 kJ per mole of atoms. For the calculated density, the calculation gives 4.5 g/cm³.